1.
VASP calculation (PBE) on an optimized crystal structure of AcBeSb2O8.

## Properties
space-group type = Cmmm, No. 65
raw formation energy = -1672.5 meV per atom
size of the total moment = 0.059 μB/f.u.

extended XYZ file:
```
12
Lattice="5.052 0.382 -0.004 0.475 5.043 -0.007 0.005 0.007 6.355" Properties=species:S:1:pos:R:3 pbc="T T T"
O 1.361 4.140 1.244
Ac 0.003 0.003 3.178
O 1.363 4.144 5.098
Be 0.000 0.000 0.000
Sb 2.765 2.714 1.474
O 4.171 1.291 5.099
O 1.878 1.842 3.174
Sb 2.767 2.718 4.870
O 4.169 1.287 1.246
O 3.654 3.590 3.170
O 3.750 3.683 -0.008
O 1.782 1.748 6.351
```

---

2.
VASP calculation (PBE) on an optimized crystal structure of AcBeSbO6.

## Properties
space-group type = P1, No. 1
raw formation energy = -1934.7 meV per atom
size of the total moment = 2.057 μB/f.u.

extended XYZ file:
```
9
Lattice="5.099 -0.014 -0.014 2.536 4.344 0.242 -0.011 0.319 5.633" Properties=species:S:1:pos:R:3 pbc="T T T"
O 1.700 3.022 4.023
O 3.317 2.602 2.100
O 2.025 0.475 3.590
Be 2.761 1.897 3.510
O 5.595 3.968 1.253
O 4.152 2.058 4.401
Ac 2.864 4.472 5.747
O 5.498 1.634 1.694
Sb 5.109 3.128 3.003
```

---

3.
VASP calculation (PBE) on an optimized crystal structure of Ac2ScBeO6.

## Properties
space-group type = C2/m, No. 12
raw formation energy = -2925.5 meV per atom
size of the total moment = 0.001 μB/f.u.

extended XYZ file:
```
20
Lattice="5.627 0.000 0.004 0.000 5.513 0.000 0.057 0.000 8.007" Properties=species:S:1:pos:R:3 pbc="T T T"
O 4.329 4.066 4.199
O 4.329 1.448 4.199
O 0.308 2.757 5.942
O 1.487 1.309 0.193
Ac 0.026 5.513 2.020
Sc 0.000 2.757 0.000
O 4.196 1.309 7.819
O 4.196 4.205 7.819
O 5.376 2.757 2.070
O 2.591 5.513 6.071
Sc 2.842 0.000 4.006
Ac 2.868 2.757 6.026
Be 2.814 0.000 0.002
O 3.093 0.000 1.940
Be 0.028 2.757 4.004
O 1.487 4.205 0.193
O 1.355 4.066 3.813
O 1.355 1.448 3.813
Ac 2.816 2.757 1.986
Ac 5.658 0.000 5.991
```

---

4.
VASP calculation (PBE) on an optimized crystal structure of Ac2SmBe2O6.

## Properties
space-group type = P-3, No. 147
raw formation energy = -2834.6 meV per atom
size of the total moment = 0.000 μB/f.u.

extended XYZ file:
```
11
Lattice="-5.302 1.237 0.142 1.997 -3.810 3.340 1.626 6.263 6.172" Properties=species:S:1:pos:R:3 pbc="T T T"
Sm 0.000 0.000 0.000
O -2.172 -0.528 3.215
O 0.494 4.218 6.439
O -1.554 1.224 1.274
Ac 0.013 -0.400 3.976
O -0.124 2.466 8.380
O 2.409 2.667 7.508
Ac -1.691 4.091 5.678
O -4.087 1.023 2.145
Be 0.932 3.139 7.463
Be -2.610 0.552 2.190
```

---

5.
VASP calculation (PBE) on an optimized crystal structure of AcTaBeO5.

## Properties
space-group type = C2/c, No. 15
raw formation energy = -3030.5 meV per atom
size of the total moment = 0.000 μB/f.u.

extended XYZ file:
```
16
Lattice="-0.071 -0.544 5.620 0.646 -5.182 -2.148 6.557 3.148 -1.275" Properties=species:S:1:pos:R:3 pbc="T T T"
Be 5.339 -1.368 -0.670
O 6.379 -1.431 0.707
O 0.753 -1.147 1.490
O 4.131 -0.217 -0.225
O 0.848 -1.675 4.207
Ta 3.278 1.574 -0.637
Be 1.793 -1.210 2.867
O 6.284 -0.903 -2.010
Ac 2.041 -2.816 0.177
Ta 0.000 0.000 0.000
O 2.583 0.260 3.212
Ac 5.091 0.238 2.020
O 4.896 1.498 4.129
O 2.236 -4.075 -1.931
O 4.549 -2.838 -1.015
O 3.001 -2.361 2.423
```

---

6.
VASP calculation (PBE) on an optimized crystal structure of AcBe2TcO8.

## Properties
space-group type = C2/m, No. 12
raw formation energy = -1840.6 meV per atom
size of the total moment = 2.040 μB/f.u.

extended XYZ file:
```
12
Lattice="-1.587 -3.811 -2.714 3.141 -3.795 -0.372 -2.825 -3.113 5.725" Properties=species:S:1:pos:R:3 pbc="T T T"
Be -1.646 -5.169 3.359
O -0.899 -4.655 -1.135
O -2.744 -6.073 2.599
O 1.474 -4.646 0.041
O -0.127 -6.707 0.303
O -1.143 -4.012 2.336
Tc 0.000 0.000 0.000
Be 0.376 -5.550 -0.720
O -0.371 -6.064 3.774
O 1.029 -6.211 -2.034
O -2.299 -4.508 4.674
Ac -1.412 -1.557 2.862
```